Material: Ag2Te6Cl
Method: DFT, PBE
State: relaxed

Computed properties:
uncorrected formation energy: 0.03 eV per atom

a = 4.508 Å, b = 10.377 Å, c = 10.377 Å
α = 37.81°, β = 77.61°, γ = 77.61°
Positions (direct):
Te: 0.658 0.593 0.087
Te: 0.500 0.704 0.296
Te: 0.342 0.407 0.913
Te: 0.342 0.913 0.407
Te: 0.500 0.296 0.704
Te: 0.658 0.087 0.593
Cl: 0.000 0.000 0.000
Ag: 0.825 0.677 0.677
Ag: 0.175 0.323 0.323